The following is a PBE calculation of an optimized crystal structure of AlZnCd2, from the Alexandria database.

a = 2.821 Å, b = 5.498 Å, c = 10.359 Å
α = 90.00°, β = 90.00°, γ = 90.00°
Fractional coordinates of all 8 atoms:
Al: 0.000 0.000 0.000
Al: 0.500 0.500 0.000
Zn: 0.000 0.500 0.222
Zn: 0.500 0.000 0.222
Cd: 0.000 0.000 0.468
Cd: 0.000 0.500 0.743
Cd: 0.500 0.000 0.743
Cd: 0.500 0.500 0.468

Summary:
Energy relative to the lowest polymorph listed for this composition = 0.16 eV per formula unit
SG = No. 35
Density of states at the Fermi level = 2.7 states/eV/cell
E_form = 0.10 eV per atom
Total DFT energy (no corrections) = -1.61 eV per atom